No. 1
# MgSiP | Alexandria via LeMat-Bulk | PBE | optimized geometry
data_MgSiP
_chemical_formula_sum 'Mg2 Si2 P2'
_cell_length_a 5.281
_cell_length_b 5.295
_cell_length_c 5.313
_cell_angle_alpha 82.78
_cell_angle_beta 71.25
_cell_angle_gamma 65.49
_space_group_name_H-M_alt 'P 1'
_space_group_IT_number 1
loop_
_space_group_symop_operation_xyz
'x,y,z'
loop_
_atom_site_label
_atom_site_type_symbol
_atom_site_fract_x
_atom_site_fract_y
_atom_site_fract_z
_atom_site_occupancy
Mg1 Mg 0.000 0.000 0.000 1
Mg2 Mg 0.341 0.493 0.587 1
Si1 Si 0.583 0.805 0.785 1
Si2 Si 0.911 0.453 0.449 1
P1 P 0.891 0.016 0.528 1
P2 P 0.908 0.533 0.016 1
# * calculated volume: 21.33 A^3/atom
# * E above lowest polymorph: 164 meV per atom
# * D(E_F): 0.038 states/eV per atom



No. 2
# MgSiP3 | Alexandria via LeMat-Bulk | PBE | optimized geometry
data_MgSiP3
_chemical_formula_sum 'Mg1 Si1 P3'
_cell_length_a 4.559
_cell_length_b 4.559
_cell_length_c 4.559
_cell_angle_alpha 90.00
_cell_angle_beta 90.00
_cell_angle_gamma 90.00
_space_group_name_H-M_alt 'P m -3 m'
_space_group_IT_number 221
_space_group_name_Hall '-P 4 2 3'
loop_
_atom_site_label
_atom_site_type_symbol
_atom_site_fract_x
_atom_site_fract_y
_atom_site_fract_z
_atom_site_occupancy
Mg1 Mg 0.000 0.000 0.000 1
Si1 Si 0.500 0.500 0.500 1
P1 P 0.000 0.500 0.500 1
# * calculated volume: 18.95 A^3/atom
# * E above lowest polymorph: 0 meV per atom
# * D(E_F): 0.830 states/eV per atom



no.,formation energy from raw total energies (meV/atom)
1,-117.3
2,509.9